No. 1
Computed, not measured: an optimized crystal structure of CaAl2Sb3 at the PBE level of DFT.

Results
mass density = 4.27 g/cm3
energy relative to the elements, uncorrected = -25 kJ/mol of atoms
total moment = 0.00 μB/atom

```
data_CaAl2Sb3
_chemical_formula_sum 'Ca4 Al8 Sb12'
_cell_length_a 23.1784
_cell_length_b 4.2670
_cell_length_c 7.2388
_cell_angle_alpha 90.00
_cell_angle_beta 94.49
_cell_angle_gamma 90.00
_symmetry_space_group_name_H-M 'C 1 2/m 1'
_symmetry_Int_Tables_number 12
loop_
_symmetry_equiv_pos_as_xyz
'x,y,z'
'-x,-y,-z'
'-x,y,-z'
'x,-y,z'
'x+1/2,y+1/2,z'
'-x+1/2,-y+1/2,-z'
'-x+1/2,y+1/2,-z'
'x+1/2,-y+1/2,z'
loop_
_atom_site_label
_atom_site_fract_x
_atom_site_fract_y
_atom_site_fract_z
Ca1 0.1532 0.0000 0.0070
Al1 0.0469 0.5000 0.1865
Al2 0.1953 0.0000 0.4358
Sb1 0.0692 0.5000 0.8122
Sb2 0.0784 0.0000 0.4103
Sb3 0.2375 0.5000 0.2427
```

=====

No. 2
Computed, not measured: an optimized crystal structure of CaAlSb2 at the PBE level of DFT.

Results
mass density = 4.95 g/cm3
energy relative to the elements, uncorrected = -21 kJ/mol of atoms
total moment = 0.00 μB/atom

```
data_CaAlSb2
_chemical_formula_sum 'Ca1 Al1 Sb2'
_cell_length_a 3.5238
_cell_length_b 3.5238
_cell_length_c 8.3905
_cell_angle_alpha 90.00
_cell_angle_beta 90.00
_cell_angle_gamma 90.00
_symmetry_space_group_name_H-M 'P 4/m m m'
_symmetry_Int_Tables_number 123
_symmetry_space_group_name_Hall '-P 4 2'
loop_
_atom_site_label
_atom_site_fract_x
_atom_site_fract_y
_atom_site_fract_z
Ca1 0.0000 0.0000 0.0000
Al1 0.0000 0.0000 0.5000
Sb1 0.5000 0.5000 0.2691
```

=====

No. 3
Computed, not measured: an optimized crystal structure of CaAl2Sb at the PBE level of DFT.

Results
mass density = 3.79 g/cm3
energy relative to the elements, uncorrected = -21 kJ/mol of atoms
total moment = 0.00 μB/atom

```
data_CaAl2Sb
_chemical_formula_sum 'Ca1 Al2 Sb1'
_cell_length_a 3.7527
_cell_length_b 3.7527
_cell_length_c 6.7145
_cell_angle_alpha 90.00
_cell_angle_beta 90.00
_cell_angle_gamma 90.00
_symmetry_space_group_name_H-M 'P 4 m m'
_symmetry_Int_Tables_number 99
loop_
_symmetry_equiv_pos_as_xyz
'x,y,z'
'-y,x,z'
'-x,-y,z'
'y,-x,z'
'-x,y,z'
'y,x,z'
'x,-y,z'
'-y,-x,z'
loop_
_atom_site_label
_atom_site_fract_x
_atom_site_fract_y
_atom_site_fract_z
Ca1 0.0000 0.0000 0.0000
Al1 0.0000 0.0000 0.5205
Al2 0.5000 0.5000 0.7080
Sb1 0.5000 0.5000 0.2993
```

=====

No. 4
Computed, not measured: an optimized crystal structure of CaAlSb2 at the PBE level of DFT.

Results
mass density = 4.99 g/cm3
energy relative to the elements, uncorrected = -27 kJ/mol of atoms
total moment = 0.00 μB/atom

```
data_CaAlSb2
_chemical_formula_sum 'Ca2 Al2 Sb4'
_cell_length_a 6.7182
_cell_length_b 8.4779
_cell_length_c 3.6325
_cell_angle_alpha 90.00
_cell_angle_beta 90.00
_cell_angle_gamma 90.00
_symmetry_space_group_name_H-M 'C m m m'
_symmetry_Int_Tables_number 65
_symmetry_space_group_name_Hall '-C 2 2'
loop_
_atom_site_label
_atom_site_fract_x
_atom_site_fract_y
_atom_site_fract_z
Ca1 0.0000 0.0000 0.0000
Al1 0.0000 0.5000 0.0000
Sb1 0.2500 0.2500 0.5000
```

=====

No. 5
Computed, not measured: an optimized crystal structure of Ca4AlSb at the PBE level of DFT.

Results
mass density = 2.63 g/cm3
energy relative to the elements, uncorrected = 22 kJ/mol of atoms
total moment = 0.00 μB/atom

```
data_Ca4AlSb
_chemical_formula_sum 'Ca16 Al4 Sb4'
_cell_length_a 9.2112
_cell_length_b 9.2112
_cell_length_c 9.2112
_cell_angle_alpha 90.00
_cell_angle_beta 90.00
_cell_angle_gamma 90.00
_symmetry_space_group_name_H-M 'F -4 3 m'
_symmetry_Int_Tables_number 216
_symmetry_space_group_name_Hall 'F -4 2 3'
loop_
_atom_site_label
_atom_site_fract_x
_atom_site_fract_y
_atom_site_fract_z
Ca1 0.1247 0.1247 0.1247
Al1 0.0000 0.0000 0.5000
Sb1 0.2500 0.2500 0.7500
```

=====

No. 6
Computed, not measured: an optimized crystal structure of Ca3AlSb3 at the PBE level of DFT.

Results
mass density = 4.05 g/cm3
polymorph energy (0 for the lowest one) = 0.0 kJ per mole of atoms
energy relative to the elements, uncorrected = -81 kJ/mol of atoms
total moment = 0.00 μB/atom

```
data_Ca3AlSb3
_chemical_formula_sum 'Ca12 Al4 Sb12'
_cell_length_a 12.9606
_cell_length_b 4.5253
_cell_length_c 14.3316
_cell_angle_alpha 90.00
_cell_angle_beta 90.00
_cell_angle_gamma 90.00
_symmetry_space_group_name_H-M 'P n m a'
_symmetry_Int_Tables_number 62
loop_
_symmetry_equiv_pos_as_xyz
'x,y,z'
'-x,-y,-z'
'-x+1/2,-y,z+1/2'
'x+1/2,y,-z+1/2'
'x+1/2,-y+1/2,-z+1/2'
'-x+1/2,y+1/2,z+1/2'
'-x,y+1/2,-z'
'x,-y+1/2,z'
loop_
_atom_site_label
_atom_site_fract_x
_atom_site_fract_y
_atom_site_fract_z
Ca1 0.0581 0.2500 0.1121
Ca2 0.1500 0.7500 0.4966
Ca3 0.2275 0.7500 0.7793
Al1 0.0678 0.2500 0.7034
Sb1 0.0401 0.2500 0.3504
Sb2 0.1142 0.2500 0.8908
Sb3 0.2433 0.7500 0.1185
```

=====

No. 7
Computed, not measured: an optimized crystal structure of CaAl2Sb at the PBE level of DFT.

Results
mass density = 3.93 g/cm3
energy relative to the elements, uncorrected = -20 kJ/mol of atoms
total moment = 0.00 μB/atom

```
data_CaAl2Sb
_chemical_formula_sum 'Ca2 Al4 Sb2'
_cell_length_a 4.3911
_cell_length_b 4.3949
_cell_length_c 9.4594
_cell_angle_alpha 90.00
_cell_angle_beta 90.00
_cell_angle_gamma 90.00
_symmetry_space_group_name_H-M 'I m m 2'
_symmetry_Int_Tables_number 44
loop_
_symmetry_equiv_pos_as_xyz
'x,y,z'
'-x,-y,z'
'-x,y,z'
'x,-y,z'
'x+1/2,y+1/2,z+1/2'
'-x+1/2,-y+1/2,z+1/2'
'-x+1/2,y+1/2,z+1/2'
'x+1/2,-y+1/2,z+1/2'
loop_
_atom_site_label
_atom_site_fract_x
_atom_site_fract_y
_atom_site_fract_z
Ca1 0.0000 0.0000 0.0000
Al1 0.0000 0.0000 0.5032
Al2 0.0000 0.5000 0.2499
Sb1 0.0000 0.5000 0.7504
```

=====

No. 8
Computed, not measured: an optimized crystal structure of Ca2AlSb2 at the PBE level of DFT.

Results
mass density = 4.20 g/cm3
polymorph energy (0 for the lowest one) = 0.0 kJ per mole of atoms
energy relative to the elements, uncorrected = -53 kJ/mol of atoms
total moment = 0.00 μB/atom

```
data_Ca2AlSb2
_chemical_formula_sum 'Ca4 Al2 Sb4'
_cell_length_a 7.8465
_cell_length_b 7.8465
_cell_length_c 4.5075
_cell_angle_alpha 90.00
_cell_angle_beta 90.00
_cell_angle_gamma 90.00
_symmetry_space_group_name_H-M 'P 4/m b m'
_symmetry_Int_Tables_number 127
_symmetry_space_group_name_Hall '-P 4 2ab'
loop_
_atom_site_label
_atom_site_fract_x
_atom_site_fract_y
_atom_site_fract_z
Ca1 0.1602 0.3398 0.0000
Al1 0.0000 0.0000 0.5000
Sb1 0.1495 0.6495 0.5000
```

=====

No. 9
Computed, not measured: an optimized crystal structure of CaAl2Sb at the PBE level of DFT.

Results
mass density = 3.92 g/cm3
energy relative to the elements, uncorrected = -23 kJ/mol of atoms
total moment = 0.00 μB/atom

```
data_CaAl2Sb
_chemical_formula_sum 'Ca1 Al2 Sb1'
_cell_length_a 4.3983
_cell_length_b 4.3983
_cell_length_c 4.7306
_cell_angle_alpha 90.00
_cell_angle_beta 90.00
_cell_angle_gamma 90.00
_symmetry_space_group_name_H-M 'P 4/m m m'
_symmetry_Int_Tables_number 123
_symmetry_space_group_name_Hall '-P 4 2'
loop_
_atom_site_label
_atom_site_fract_x
_atom_site_fract_y
_atom_site_fract_z
Ca1 0.0000 0.0000 0.0000
Al1 0.0000 0.5000 0.5000
Sb1 0.5000 0.5000 0.0000
```

=====

No. 10
Computed, not measured: an optimized crystal structure of CaAl2Sb at the PBE level of DFT.

Results
mass density = 3.73 g/cm3
energy relative to the elements, uncorrected = -4 kJ/mol of atoms
total moment = 0.00 μB/atom

```
data_CaAl2Sb
_chemical_formula_sum 'Ca4 Al8 Sb4'
_cell_length_a 7.2677
_cell_length_b 7.2677
_cell_length_c 7.2677
_cell_angle_alpha 90.00
_cell_angle_beta 90.00
_cell_angle_gamma 90.00
_symmetry_space_group_name_H-M 'F -4 3 m'
_symmetry_Int_Tables_number 216
_symmetry_space_group_name_Hall 'F -4 2 3'
loop_
_atom_site_label
_atom_site_fract_x
_atom_site_fract_y
_atom_site_fract_z
Ca1 0.0000 0.0000 0.0000
Al1 0.0000 0.0000 0.5000
Al2 0.2500 0.2500 0.2500
Sb1 0.2500 0.2500 0.7500
```

=====

No. 11
Computed, not measured: an optimized crystal structure of CaAl2Sb at the PBE level of DFT.

Results
mass density = 3.79 g/cm3
energy relative to the elements, uncorrected = -13 kJ/mol of atoms
total moment = 0.00 μB/atom

```
data_CaAl2Sb
_chemical_formula_sum 'Ca1 Al2 Sb1'
_cell_length_a 3.2503
_cell_length_b 5.1776
_cell_length_c 5.6137
_cell_angle_alpha 90.00
_cell_angle_beta 90.00
_cell_angle_gamma 90.00
_symmetry_space_group_name_H-M 'P m m m'
_symmetry_Int_Tables_number 47
loop_
_symmetry_equiv_pos_as_xyz
'x,y,z'
'-x,-y,-z'
'-x,-y,z'
'x,y,-z'
'x,-y,-z'
'-x,y,z'
'-x,y,-z'
'x,-y,z'
loop_
_atom_site_label
_atom_site_fract_x
_atom_site_fract_y
_atom_site_fract_z
Ca1 0.0000 0.0000 0.0000
Al1 0.5000 0.5000 0.2405
Sb1 0.5000 0.0000 0.5000
```

=====

No. 12
Computed, not measured: an optimized crystal structure of CaAl2Sb at the PBE level of DFT.

Results
mass density = 3.81 g/cm3
energy relative to the elements, uncorrected = -6 kJ/mol of atoms
total moment = 0.00 μB/atom

```
data_CaAl2Sb
_chemical_formula_sum 'Ca1 Al2 Sb1'
_cell_length_a 3.2849
_cell_length_b 3.2849
_cell_length_c 8.7196
_cell_angle_alpha 90.00
_cell_angle_beta 90.00
_cell_angle_gamma 90.00
_symmetry_space_group_name_H-M 'P 4 m m'
_symmetry_Int_Tables_number 99
loop_
_symmetry_equiv_pos_as_xyz
'x,y,z'
'-y,x,z'
'-x,-y,z'
'y,-x,z'
'-x,y,z'
'y,x,z'
'x,-y,z'
'-y,-x,z'
loop_
_atom_site_label
_atom_site_fract_x
_atom_site_fract_y
_atom_site_fract_z
Ca1 0.0000 0.0000 0.0000
Al1 0.0000 0.0000 0.5533
Al2 0.5000 0.5000 0.7355
Sb1 0.5000 0.5000 0.2777
```

=====

> Look up the energy relative to the elements, uncorrected of the third one.

-21 kJ/mol of atoms